# 1
The following is a DFT calculation (GGA-PBE) of a geometry-optimized Y2MgZnC structure.

Output
energy relative to the elements = -0.17 eV per atom
DOS(E_F) = 0.933 states/eV/atom
ρ = 4.404 g cm⁻³
raw total energy = -5.18 eV per atom

Cell lengths 4.937, 4.937, 4.323 Å; angles 90.00, 90.00, 90.00 degrees
Fractional coordinates of all 5 atoms:
Y1 0.000 0.500 0.000
Y2 0.500 0.000 0.000
Mg1 0.000 0.000 0.500
Zn1 0.500 0.500 0.500
C1 0.000 0.000 0.000

***

# 2
The following is a DFT calculation (GGA-PBE) of a geometry-optimized YMg2ZnC structure.

Output
energy relative to the elements = -0.01 eV per atom
DOS(E_F) = 0.769 states/eV/atom
ρ = 3.725 g cm⁻³
raw total energy = -4.04 eV per atom

Cell lengths 4.420, 4.420, 4.904 Å; angles 90.00, 90.00, 90.00 degrees
Fractional coordinates of all 5 atoms:
Y1 0.000 0.000 0.000
Mg1 0.000 0.500 0.500
Mg2 0.500 0.000 0.500
Zn1 0.500 0.500 0.000
C1 0.000 0.000 0.500

***

# 3
The following is a DFT calculation (GGA-PBE) of a geometry-optimized YMgZr2C structure.

Output
energy relative to the elements = -0.25 eV per atom
DOS(E_F) = 0.699 states/eV/atom
ρ = 4.833 g cm⁻³
raw total energy = -7.13 eV per atom

Cell lengths 4.640, 4.640, 4.911 Å; angles 90.00, 90.00, 90.00 degrees
Fractional coordinates of all 5 atoms:
Y1 0.000 0.000 0.000
Mg1 0.500 0.500 0.000
Zr1 0.000 0.500 0.500
Zr2 0.500 0.000 0.500
C1 0.000 0.000 0.500

***

# 4
The following is a DFT calculation (GGA-PBE) of a geometry-optimized MgZn2C structure.

Output
energy relative to the elements = 0.63 eV per atom
DOS(E_F) = 0.081 states/eV/atom
ρ = 3.191 g cm⁻³
raw total energy = -2.71 eV per atom
polymorph energy (0 for the lowest one) = 0.000 eV/atom

Cell lengths 6.262, 6.262, 6.262 Å; angles 119.88, 119.88, 90.20 degrees
Fractional coordinates of all 8 atoms:
Mg1 0.375 0.625 0.750
Mg2 0.625 0.375 0.250
Zn1 0.000 0.000 0.000
Zn2 0.000 0.000 0.500
Zn3 0.000 0.500 0.000
Zn4 0.500 0.000 0.500
C1 0.125 0.875 0.250
C2 0.875 0.125 0.750

***

# 5
The following is a DFT calculation (GGA-PBE) of a geometry-optimized MgZnC2 structure.

Output
energy relative to the elements = 1.54 eV per atom
DOS(E_F) = 0.391 states/eV/atom
ρ = 4.409 g cm⁻³
raw total energy = -3.79 eV per atom
polymorph energy (0 for the lowest one) = 0.161 eV/atom

Cell lengths 3.928, 3.928, 3.928 Å; angles 60.00, 60.00, 60.00 degrees
Fractional coordinates of all 4 atoms:
Mg1 0.000 0.000 0.000
Zn1 0.500 0.500 0.500
C1 0.250 0.250 0.250
C2 0.750 0.750 0.750

***

# 6
The following is a DFT calculation (GGA-PBE) of a geometry-optimized MgZn2C structure.

Output
energy relative to the elements = 1.13 eV per atom
DOS(E_F) = 0.346 states/eV/atom
ρ = 4.808 g cm⁻³
raw total energy = -2.21 eV per atom
polymorph energy (0 for the lowest one) = 0.504 eV/atom

Cell lengths 4.338, 4.338, 4.338 Å; angles 60.00, 60.00, 60.00 degrees
Fractional coordinates of all 4 atoms:
Mg1 0.000 0.000 0.000
Zn1 0.250 0.250 0.250
Zn2 0.750 0.750 0.750
C1 0.500 0.500 0.500

***

# 7
The following is a DFT calculation (GGA-PBE) of a geometry-optimized Mg6ZnC structure.

Output
energy relative to the elements = 0.24 eV per atom
DOS(E_F) = 0.403 states/eV/atom
ρ = 2.457 g cm⁻³
raw total energy = -2.27 eV per atom
polymorph energy (0 for the lowest one) = 0.000 eV/atom

Cell lengths 3.365, 6.736, 6.736 Å; angles 81.23, 90.00, 90.00 degrees
Fractional coordinates of all 8 atoms:
Mg1 0.000 0.000 0.000
Mg2 0.000 0.591 0.904
Mg3 0.000 0.904 0.591
Mg4 0.500 0.247 0.729
Mg5 0.500 0.254 0.254
Mg6 0.500 0.729 0.247
Zn1 0.000 0.484 0.484
C1 0.500 0.856 0.856

***

# 8
The following is a DFT calculation (GGA-PBE) of a geometry-optimized Mg2ZnC structure.

Output
energy relative to the elements = 0.67 eV per atom
DOS(E_F) = 0.000 states/eV/atom
ρ = 1.988 g cm⁻³
raw total energy = -2.75 eV per atom
polymorph energy (0 for the lowest one) = 0.000 eV/atom

Cell lengths 6.680, 6.680, 6.680 Å; angles 120.09, 120.09, 89.85 degrees
Fractional coordinates of all 8 atoms:
Mg1 0.000 0.000 0.000
Mg2 0.000 0.000 0.500
Mg3 0.000 0.500 0.000
Mg4 0.500 0.000 0.500
Zn1 0.375 0.625 0.750
Zn2 0.625 0.375 0.250
C1 0.125 0.875 0.250
C2 0.875 0.125 0.750

***

# 9
The following is a DFT calculation (GGA-PBE) of a geometry-optimized MgZnC2 structure.

Output
energy relative to the elements = 1.38 eV per atom
DOS(E_F) = 0.000 states/eV/atom
ρ = 3.871 g cm⁻³
raw total energy = -3.95 eV per atom
polymorph energy (0 for the lowest one) = 0.000 eV/atom

Cell lengths 7.064, 7.064, 7.064 Å; angles 148.20, 148.20, 45.59 degrees
Fractional coordinates of all 8 atoms:
Mg1 0.000 0.000 0.000
Mg2 0.750 0.250 0.500
Zn1 0.250 0.750 0.500
Zn2 0.500 0.500 0.000
C1 0.218 0.625 0.093
C2 0.375 0.468 0.593
C3 0.532 0.125 0.907
C4 0.875 0.782 0.407

***

# 10
The following is a DFT calculation (GGA-PBE) of a geometry-optimized Mg2ZnC structure.

Output
energy relative to the elements = 0.76 eV per atom
DOS(E_F) = 0.000 states/eV/atom
ρ = 3.560 g cm⁻³
raw total energy = -2.66 eV per atom
polymorph energy (0 for the lowest one) = 0.093 eV/atom

Cell lengths 4.364, 4.364, 4.364 Å; angles 60.00, 60.00, 60.00 degrees
Fractional coordinates of all 4 atoms:
Mg1 0.250 0.250 0.250
Mg2 0.750 0.750 0.750
Zn1 0.000 0.000 0.000
C1 0.500 0.500 0.500

***

# 11
The following is a DFT calculation (GGA-PBE) of a geometry-optimized Mg6ZnC structure.

Output
energy relative to the elements = 0.29 eV per atom
DOS(E_F) = 0.374 states/eV/atom
ρ = 2.480 g cm⁻³
raw total energy = -2.22 eV per atom
polymorph energy (0 for the lowest one) = 0.050 eV/atom

Cell lengths 3.646, 6.435, 6.435 Å; angles 81.86, 90.00, 90.00 degrees
Fractional coordinates of all 8 atoms:
Mg1 0.000 0.000 0.000
Mg2 0.000 0.427 0.427
Mg3 0.000 0.529 0.871
Mg4 0.000 0.871 0.529
Mg5 0.500 0.218 0.705
Mg6 0.500 0.705 0.218
Zn1 0.500 0.208 0.208
C1 0.500 0.579 0.579

***

# 12
The following is a DFT calculation (GGA-PBE) of a geometry-optimized Mg6ZrC structure.

Output
energy relative to the elements = 0.22 eV per atom
DOS(E_F) = 0.812 states/eV/atom
ρ = 2.302 g cm⁻³
raw total energy = -3.20 eV per atom
polymorph energy (0 for the lowest one) = 0.000 eV/atom

Cell lengths 4.569, 6.380, 6.380 Å; angles 75.02, 90.00, 90.00 degrees
Fractional coordinates of all 8 atoms:
Mg1 0.000 0.000 0.000
Mg2 0.000 0.513 0.903
Mg3 0.000 0.903 0.513
Mg4 0.500 0.176 0.723
Mg5 0.500 0.206 0.206
Mg6 0.500 0.723 0.176
Zr1 0.000 0.432 0.432
C1 0.500 0.418 0.418